[1]
{
  "formula": "Ac4Pr2H",
  "functional": "PBE-GGA",
  "state": "optimized geometry",
  "lattice_angstrom": [[-2.6739, 2.6739, 9.2623], [2.6739, -2.6739, 9.2623], [2.6739, 2.6739, -9.2623]],
  "species": ["Ac", "Ac", "Ac", "Ac", "Pr", "Pr", "H"],
  "fractional_positions": [[0.0000, 0.5000, 0.5000], [0.1589, 0.1589, 0.0000], [0.5000, 0.0000, 0.5000], [0.8411, 0.8411, 0.0000], [0.3622, 0.3622, 0.0000], [0.6378, 0.6378, 0.0000], [0.0000, 0.0000, 0.0000]],
  "n_ef_per_ev_fu": 9.8,
  "vol_a3_per_cell": 265,
  "spacegroup": "I4/mmm (139)"
}



[2]
{
  "formula": "AcPr3H8",
  "functional": "PBE-GGA",
  "state": "optimized geometry",
  "lattice_angstrom": [[5.6242, 0.0000, 0.0000], [0.0000, 5.6242, 0.0000], [0.0000, 0.0000, 5.6242]],
  "species": ["Ac", "Pr", "Pr", "Pr", "H", "H", "H", "H", "H", "H", "H", "H"],
  "fractional_positions": [[0.0000, 0.0000, 0.0000], [0.0000, 0.5000, 0.5000], [0.5000, 0.0000, 0.5000], [0.5000, 0.5000, 0.0000], [0.2588, 0.2588, 0.2588], [0.2588, 0.2588, 0.7412], [0.2588, 0.7412, 0.2588], [0.2588, 0.7412, 0.7412], [0.7412, 0.2588, 0.2588], [0.7412, 0.2588, 0.7412], [0.7412, 0.7412, 0.2588], [0.7412, 0.7412, 0.7412]],
  "n_ef_per_ev_fu": 2.6,
  "vol_a3_per_cell": 178,
  "spacegroup": "Pm-3m (221)"
}



[3]
{
  "formula": "Ac12Pr3H5",
  "functional": "PBE-GGA",
  "state": "optimized geometry",
  "lattice_angstrom": [[-8.8635, 8.8635, 8.8635], [8.8635, -8.8635, 8.8635], [8.8635, 8.8635, -8.8635]],
  "species": ["Ac", "Ac", "Ac", "Ac", "Ac", "Ac", "Ac", "Ac", "Ac", "Ac", "Ac", "Ac", "Ac", "Ac", "Ac", "Ac", "Ac", "Ac", "Ac", "Ac", "Ac", "Ac", "Ac", "Ac", "Ac", "Ac", "Ac", "Ac", "Ac", "Ac", "Ac", "Ac", "Ac", "Ac", "Ac", "Ac", "Ac", "Ac", "Ac", "Ac", "Ac", "Ac", "Ac", "Ac", "Ac", "Ac", "Ac", "Ac", "Pr", "Pr", "Pr", "Pr", "Pr", "Pr", "Pr", "Pr", "Pr", "Pr", "Pr", "Pr", "H", "H", "H", "H", "H", "H", "H", "H", "H", "H", "H", "H", "H", "H", "H", "H", "H", "H", "H", "H"],
  "fractional_positions": [[0.0052, 0.1979, 0.1061], [0.0052, 0.3073, 0.8991], [0.0918, 0.6979, 0.6927], [0.0918, 0.8939, 0.3991], [0.1009, 0.6061, 0.4082], [0.1009, 0.9948, 0.6927], [0.1061, 0.0052, 0.1979], [0.1061, 0.6009, 0.9082], [0.1927, 0.1979, 0.5918], [0.1927, 0.4948, 0.6009], [0.1979, 0.1061, 0.0052], [0.1979, 0.5918, 0.1927], [0.3021, 0.3073, 0.9082], [0.3021, 0.4948, 0.3939], [0.3073, 0.8991, 0.0052], [0.3073, 0.9082, 0.3021], [0.3939, 0.3021, 0.4948], [0.3939, 0.5918, 0.8991], [0.3991, 0.0918, 0.8939], [0.3991, 0.8073, 0.5052], [0.4082, 0.1009, 0.6061], [0.4082, 0.8073, 0.8021], [0.4948, 0.3939, 0.3021], [0.4948, 0.6009, 0.1927], [0.5052, 0.3991, 0.8073], [0.5052, 0.6061, 0.6979], [0.5918, 0.1927, 0.1979], [0.5918, 0.8991, 0.3939], [0.6009, 0.1927, 0.4948], [0.6009, 0.9082, 0.1061], [0.6061, 0.4082, 0.1009], [0.6061, 0.6979, 0.5052], [0.6927, 0.0918, 0.6979], [0.6927, 0.1009, 0.9948], [0.6979, 0.5052, 0.6061], [0.6979, 0.6927, 0.0918], [0.8021, 0.4082, 0.8073], [0.8021, 0.8939, 0.9948], [0.8073, 0.5052, 0.3991], [0.8073, 0.8021, 0.4082], [0.8939, 0.3991, 0.0918], [0.8939, 0.9948, 0.8021], [0.8991, 0.0052, 0.3073], [0.8991, 0.3939, 0.5918], [0.9082, 0.1061, 0.6009], [0.9082, 0.3021, 0.3073], [0.9948, 0.6927, 0.1009], [0.9948, 0.8021, 0.8939], [0.1250, 0.2500, 0.3750], [0.1250, 0.3750, 0.7500], [0.2500, 0.3750, 0.1250], [0.2500, 0.8750, 0.6250], [0.3750, 0.1250, 0.2500], [0.3750, 0.7500, 0.1250], [0.6250, 0.2500, 0.8750], [0.6250, 0.8750, 0.7500], [0.7500, 0.1250, 0.3750], [0.7500, 0.6250, 0.8750], [0.8750, 0.6250, 0.2500], [0.8750, 0.7500, 0.6250], [0.0000, 0.0000, 0.0000], [0.0000, 0.0000, 0.5000], [0.0000, 0.5000, 0.0000], [0.0000, 0.5000, 0.5000], [0.1250, 0.7500, 0.8750], [0.1250, 0.8750, 0.2500], [0.2500, 0.1250, 0.8750], [0.2500, 0.6250, 0.3750], [0.3750, 0.2500, 0.6250], [0.3750, 0.6250, 0.7500], [0.5000, 0.0000, 0.0000], [0.5000, 0.0000, 0.5000], [0.5000, 0.5000, 0.0000], [0.5000, 0.5000, 0.5000], [0.6250, 0.3750, 0.2500], [0.6250, 0.7500, 0.3750], [0.7500, 0.3750, 0.6250], [0.7500, 0.8750, 0.1250], [0.8750, 0.1250, 0.7500], [0.8750, 0.2500, 0.1250]],
  "n_ef_per_ev_fu": 29.5,
  "vol_a3_per_cell": 2785,
  "spacegroup": "Ia-3d (230)"
}



[4]
{
  "formula": "AcPr2H8",
  "functional": "PBE-GGA",
  "state": "optimized geometry",
  "lattice_angstrom": [[-1.9787, 2.7820, 5.9632], [1.9787, -2.7820, 5.9632], [1.9787, 2.7820, -5.9632]],
  "species": ["Ac", "Pr", "Pr", "H", "H", "H", "H", "H", "H", "H", "H"],
  "fractional_positions": [[0.0000, 0.0000, 0.0000], [0.3297, 0.3297, 0.0000], [0.6703, 0.6703, 0.0000], [0.1009, 0.8335, 0.2674], [0.1562, 0.6562, 0.5000], [0.2866, 0.5000, 0.7866], [0.4339, 0.1665, 0.2674], [0.5661, 0.8335, 0.7326], [0.7134, 0.5000, 0.2134], [0.8438, 0.3438, 0.5000], [0.8991, 0.1665, 0.7326]],
  "n_ef_per_ev_fu": 1.4,
  "vol_a3_per_cell": 131,
  "spacegroup": "Immm (71)"
}



[5]
{
  "formula": "AcPrH6",
  "functional": "PBE-GGA",
  "state": "optimized geometry",
  "lattice_angstrom": [[1.9857, 1.1465, 6.5071], [-1.9857, 1.1465, 6.5071], [0.0000, -2.2929, 6.5071]],
  "species": ["Ac", "Pr", "H", "H", "H", "H", "H", "H"],
  "fractional_positions": [[0.0000, 0.0000, 0.0000], [0.5000, 0.5000, 0.5000], [0.1288, 0.1288, 0.1288], [0.2515, 0.2515, 0.2515], [0.3799, 0.3799, 0.3799], [0.6201, 0.6201, 0.6201], [0.7485, 0.7485, 0.7485], [0.8712, 0.8712, 0.8712]],
  "n_ef_per_ev_fu": 0.2,
  "vol_a3_per_cell": 89,
  "spacegroup": "R-3m (166)"
}



[6]
{
  "formula": "AcPr4H10",
  "functional": "PBE-GGA",
  "state": "optimized geometry",
  "lattice_angstrom": [[1.9805, 1.1434, 16.2116], [-1.9805, 1.1434, 16.2116], [0.0000, -2.2869, 16.2116]],
  "species": ["Ac", "Pr", "Pr", "Pr", "Pr", "H", "H", "H", "H", "H", "H", "H", "H", "H", "H"],
  "fractional_positions": [[0.0000, 0.0000, 0.0000], [0.1994, 0.1994, 0.1994], [0.4020, 0.4020, 0.4020], [0.5980, 0.5980, 0.5980], [0.8006, 0.8006, 0.8006], [0.0526, 0.0526, 0.0526], [0.1500, 0.1500, 0.1500], [0.2487, 0.2487, 0.2487], [0.3531, 0.3531, 0.3531], [0.4514, 0.4514, 0.4514], [0.5486, 0.5486, 0.5486], [0.6469, 0.6469, 0.6469], [0.7513, 0.7513, 0.7513], [0.8500, 0.8500, 0.8500], [0.9474, 0.9474, 0.9474]],
  "n_ef_per_ev_fu": 5.9,
  "vol_a3_per_cell": 220,
  "spacegroup": "R-3m (166)"
}



[7]
{
  "formula": "AcPrSiH",
  "functional": "PBE-GGA",
  "state": "optimized geometry",
  "lattice_angstrom": [[0.0000, 3.6342, 3.6342], [3.6342, 0.0000, 3.6342], [3.6342, 3.6342, 0.0000]],
  "species": ["Ac", "Pr", "Si", "H"],
  "fractional_positions": [[0.0000, 0.0000, 0.0000], [0.5000, 0.5000, 0.5000], [0.7500, 0.7500, 0.7500], [0.2500, 0.2500, 0.2500]],
  "n_ef_per_ev_fu": 1.6,
  "vol_a3_per_cell": 96,
  "spacegroup": "F-43m (216)"
}



[8]
{
  "formula": "AcPr2SmH",
  "functional": "PBE-GGA",
  "state": "optimized geometry",
  "lattice_angstrom": [[5.2854, 0.0000, 0.0000], [0.0000, 5.2854, 0.0000], [0.0000, 0.0000, 5.2612]],
  "species": ["Ac", "Pr", "Pr", "Sm", "H"],
  "fractional_positions": [[0.0000, 0.0000, 0.0000], [0.0000, 0.5000, 0.5000], [0.5000, 0.0000, 0.5000], [0.5000, 0.5000, 0.0000], [0.5000, 0.5000, 0.5000]],
  "n_ef_per_ev_fu": 3.9,
  "vol_a3_per_cell": 147,
  "spacegroup": "P4/mmm (123)"
}



[9]
{
  "formula": "Ac2Pr4Sn3H2",
  "functional": "PBE-GGA",
  "state": "optimized geometry",
  "lattice_angstrom": [[-2.4770, 2.4770, 13.2633], [2.4770, -2.4770, 13.2633], [2.4770, 2.4770, -13.2633]],
  "species": ["Ac", "Ac", "Pr", "Pr", "Pr", "Pr", "Sn", "Sn", "Sn", "H", "H"],
  "fractional_positions": [[0.1995, 0.1995, 0.0000], [0.8005, 0.8005, 0.0000], [0.0799, 0.5799, 0.5000], [0.4201, 0.9201, 0.5000], [0.5799, 0.0799, 0.5000], [0.9201, 0.4201, 0.5000], [0.3308, 0.3308, 0.0000], [0.5000, 0.5000, 0.0000], [0.6692, 0.6692, 0.0000], [0.0976, 0.0976, 0.0000], [0.9024, 0.9024, 0.0000]],
  "n_ef_per_ev_fu": 11.6,
  "vol_a3_per_cell": 326,
  "spacegroup": "I4/mmm (139)"
}



[10]
{
  "formula": "AcPrTe2H",
  "functional": "PBE-GGA",
  "state": "optimized geometry",
  "lattice_angstrom": [[4.5175, 0.0000, 0.0000], [0.0000, 4.5175, 0.0000], [0.0000, 0.0000, 14.1344]],
  "species": ["Ac", "Ac", "Pr", "Pr", "Te", "Te", "Te", "Te", "H", "H"],
  "fractional_positions": [[0.2500, 0.2500, 0.1000], [0.7500, 0.7500, 0.9000], [0.2500, 0.2500, 0.5803], [0.7500, 0.7500, 0.4197], [0.2500, 0.2500, 0.3420], [0.2500, 0.2500, 0.8555], [0.7500, 0.7500, 0.1445], [0.7500, 0.7500, 0.6580], [0.2500, 0.7500, 0.5000], [0.7500, 0.2500, 0.5000]],
  "n_ef_per_ev_fu": 2.6,
  "vol_a3_per_cell": 288,
  "spacegroup": "P4/nmm (129)"
}



[11]
{
  "formula": "AcH8Pt2",
  "functional": "PBE-GGA",
  "state": "optimized geometry",
  "lattice_angstrom": [[4.1792, -3.9455, 0.0000], [4.1792, 3.9455, 0.0000], [-1.8082, 0.0000, 3.4450]],
  "species": ["Ac", "H", "H", "H", "H", "H", "H", "H", "H", "Pt", "Pt"],
  "fractional_positions": [[0.0000, 0.0000, 0.0000], [0.0153, 0.6624, 0.3371], [0.3267, 0.6733, 0.0000], [0.3376, 0.9847, 0.6629], [0.3491, 0.3491, 0.3437], [0.6509, 0.6509, 0.6563], [0.6624, 0.0153, 0.3371], [0.6733, 0.3267, 0.0000], [0.9847, 0.3376, 0.6629], [0.3213, 0.6787, 0.5000], [0.6787, 0.3213, 0.5000]],
  "n_ef_per_ev_fu": 2.1,
  "vol_a3_per_cell": 114,
  "spacegroup": "C2/m (12)",
  "de_polymorph_mev_per_atom": 0
}



[12]
{
  "formula": "AcH4Pt",
  "functional": "PBE-GGA",
  "state": "optimized geometry",
  "lattice_angstrom": [[4.0993, -2.4033, 0.0000], [4.0993, 2.4033, 0.0000], [-2.4015, 0.0000, 7.5381]],
  "species": ["Ac", "Ac", "H", "H", "H", "H", "H", "H", "H", "H", "Pt", "Pt"],
  "fractional_positions": [[0.2237, 0.7763, 0.7500], [0.7763, 0.2237, 0.2500], [0.1484, 0.2583, 0.5801], [0.2583, 0.1484, 0.0801], [0.2576, 0.6691, 0.0828], [0.3309, 0.7424, 0.4172], [0.6691, 0.2576, 0.5828], [0.7424, 0.3309, 0.9172], [0.7417, 0.8516, 0.9199], [0.8516, 0.7417, 0.4199], [0.0000, 0.5000, 0.0000], [0.5000, 0.0000, 0.5000]],
  "n_ef_per_ev_fu": 1.5,
  "vol_a3_per_cell": 149,
  "spacegroup": "C2/c (15)",
  "de_polymorph_mev_per_atom": 0
}



[13]
{
  "formula": "AcH12Pt3",
  "functional": "PBE-GGA",
  "state": "optimized geometry",
  "lattice_angstrom": [[4.6695, 2.6960, 4.9632], [-4.6695, 2.6960, 4.9632], [0.0000, -5.3919, 4.9632]],
  "species": ["Ac", "Ac", "H", "H", "H", "H", "H", "H", "H", "H", "H", "H", "H", "H", "H", "H", "H", "H", "H", "H", "H", "H", "H", "H", "H", "H", "Pt", "Pt", "Pt", "Pt", "Pt", "Pt"],
  "fractional_positions": [[0.0000, 0.0000, 0.0000], [0.5000, 0.5000, 0.5000], [0.0152, 0.4826, 0.0633], [0.0291, 0.4542, 0.1819], [0.0633, 0.0152, 0.4826], [0.1554, 0.7275, 0.7403], [0.1819, 0.0291, 0.4542], [0.2275, 0.6554, 0.2403], [0.2403, 0.2275, 0.6554], [0.3166, 0.4281, 0.8539], [0.3539, 0.9281, 0.8166], [0.4281, 0.8539, 0.3166], [0.4542, 0.1819, 0.0291], [0.4826, 0.0633, 0.0152], [0.5152, 0.5633, 0.9826], [0.5291, 0.6819, 0.9542], [0.5633, 0.9826, 0.5152], [0.6554, 0.2403, 0.2275], [0.6819, 0.9542, 0.5291], [0.7275, 0.7403, 0.1554], [0.7403, 0.1554, 0.7275], [0.8166, 0.3539, 0.9281], [0.8539, 0.3166, 0.4281], [0.9281, 0.8166, 0.3539], [0.9542, 0.5291, 0.6819], [0.9826, 0.5152, 0.5633], [0.1758, 0.8327, 0.3537], [0.3327, 0.6758, 0.8537], [0.3537, 0.1758, 0.8327], [0.6758, 0.8537, 0.3327], [0.8327, 0.3537, 0.1758], [0.8537, 0.3327, 0.6758]],
  "n_ef_per_ev_fu": 2.0,
  "vol_a3_per_cell": 375,
  "spacegroup": "R3c (161)"
}



[14]
{
  "formula": "AcH3Pt",
  "functional": "PBE-GGA",
  "state": "optimized geometry",
  "lattice_angstrom": [[-2.0156, 2.0156, 4.4446], [2.0156, -2.0156, 4.4446], [2.0156, 2.0156, -4.4446]],
  "species": ["Ac", "H", "H", "H", "Pt"],
  "fractional_positions": [[0.0000, 0.0000, 0.0000], [0.1852, 0.6852, 0.5000], [0.4494, 0.4494, 0.0000], [0.6852, 0.1852, 0.5000], [0.6520, 0.6520, 0.0000]],
  "n_ef_per_ev_fu": 1.7,
  "vol_a3_per_cell": 72,
  "spacegroup": "I4mm (107)",
  "de_polymorph_mev_per_atom": 103
}



[15]
{
  "formula": "AcH8Pt2",
  "functional": "PBE-GGA",
  "state": "optimized geometry",
  "lattice_angstrom": [[4.0884, -2.3579, 0.0000], [4.0884, 2.3579, 0.0000], [-2.9798, 0.0000, 6.7272]],
  "species": ["Ac", "H", "H", "H", "H", "H", "H", "H", "H", "Pt", "Pt"],
  "fractional_positions": [[0.0000, 0.0000, 0.0000], [0.0646, 0.5538, 0.1572], [0.3423, 0.3423, 0.4730], [0.4335, 0.4335, 0.8277], [0.4462, 0.9354, 0.8428], [0.5538, 0.0646, 0.1572], [0.5665, 0.5665, 0.1723], [0.6577, 0.6577, 0.5270], [0.9354, 0.4462, 0.8428], [0.4440, 0.4440, 0.3058], [0.5560, 0.5560, 0.6942]],
  "n_ef_per_ev_fu": 2.3,
  "vol_a3_per_cell": 130,
  "spacegroup": "C2/m (12)",
  "de_polymorph_mev_per_atom": 69
}



[16]
{
  "formula": "AcH12Pt6",
  "functional": "PBE-GGA",
  "state": "optimized geometry",
  "lattice_angstrom": [[5.3704, 3.1006, 1.9256], [-5.3704, 3.1006, 1.9256], [0.0000, -6.2012, 1.9256]],
  "species": ["Ac", "H", "H", "H", "H", "H", "H", "H", "H", "H", "H", "H", "H", "Pt", "Pt", "Pt", "Pt", "Pt", "Pt"],
  "fractional_positions": [[0.0000, 0.0000, 0.0000], [0.0190, 0.3858, 0.8273], [0.1686, 0.4623, 0.4809], [0.1727, 0.9810, 0.6142], [0.3858, 0.8273, 0.0190], [0.4623, 0.4809, 0.1686], [0.4809, 0.1686, 0.4623], [0.5191, 0.8314, 0.5377], [0.5377, 0.5191, 0.8314], [0.6142, 0.1727, 0.9810], [0.8273, 0.0190, 0.3858], [0.8314, 0.5377, 0.5191], [0.9810, 0.6142, 0.1727], [0.1821, 0.2656, 0.6026], [0.2656, 0.6026, 0.1821], [0.3974, 0.8179, 0.7344], [0.6026, 0.1821, 0.2656], [0.7344, 0.3974, 0.8179], [0.8179, 0.7344, 0.3974]],
  "n_ef_per_ev_fu": 2.3,
  "vol_a3_per_cell": 192,
  "spacegroup": "R-3 (148)"
}



[17]
{
  "formula": "Ac4HPt2",
  "functional": "PBE-GGA",
  "state": "optimized geometry",
  "lattice_angstrom": [[-2.5396, 2.5396, 7.9242], [2.5396, -2.5396, 7.9242], [2.5396, 2.5396, -7.9242]],
  "species": ["Ac", "Ac", "Ac", "Ac", "H", "Pt", "Pt"],
  "fractional_positions": [[0.0000, 0.5000, 0.5000], [0.1922, 0.1922, 0.0000], [0.5000, 0.0000, 0.5000], [0.8078, 0.8078, 0.0000], [0.0000, 0.0000, 0.0000], [0.3754, 0.3754, 0.0000], [0.6246, 0.6246, 0.0000]],
  "n_ef_per_ev_fu": 6.7,
  "vol_a3_per_cell": 204,
  "spacegroup": "I4/mmm (139)"
}



[18]
{
  "formula": "Ac2H5Pt2",
  "functional": "PBE-GGA",
  "state": "optimized geometry",
  "lattice_angstrom": [[6.2820, -1.9515, 0.0000], [6.2820, 1.9515, 0.0000], [-0.2199, 0.0000, 5.2558]],
  "species": ["Ac", "Ac", "H", "H", "H", "H", "H", "Pt", "Pt"],
  "fractional_positions": [[0.1301, 0.1301, 0.2387], [0.8699, 0.8699, 0.7613], [0.0871, 0.0871, 0.7310], [0.3059, 0.3059, 0.4873], [0.5000, 0.5000, 0.0000], [0.6941, 0.6941, 0.5127], [0.9129, 0.9129, 0.2690], [0.4139, 0.4139, 0.2784], [0.5861, 0.5861, 0.7216]],
  "n_ef_per_ev_fu": 1.8,
  "vol_a3_per_cell": 129,
  "spacegroup": "C2/m (12)"
}



How do the records compare in VASP energy? In the order shown, they have -4.105; -4.392; -3.984; -4.245; -4.157; -4.397; -4.736; -4.511; -4.760; -4.900; -4.156; -4.484; -3.993; -4.454; -4.087; -4.381; -5.181; -4.710 eV/atom.